A plane-wave DFT calculation with PBE was carried out for Ce9Ga2Hg after structural relaxation.

The structure in POSCAR format:
```
Ce9Ga2Hg
1.0
5.4816 0.0000 0.0000
0.0000 5.4816 0.0000
0.0000 0.0000 9.7747
Ce Ga Hg
9 2 1
Cartesian
0.0000 2.7408 8.0627 Ce
2.7408 0.0000 1.7120 Ce
0.0000 2.7408 1.7120 Ce
0.0000 2.7408 4.8873 Ce
2.7408 0.0000 8.0627 Ce
2.7408 2.7408 6.5005 Ce
2.7408 2.7408 0.0000 Ce
2.7408 0.0000 4.8873 Ce
2.7408 2.7408 3.2742 Ce
0.0000 0.0000 3.3439 Ga
0.0000 0.0000 6.4308 Ga
0.0000 0.0000 0.0000 Hg
```

Calculated values
Total DFT energy (no corrections): -5.163 eV/atom
ΔH_f (0 K): -2.19 eV per formula unit
SG: P4/mmm



A plane-wave DFT calculation with PBE was carried out for Ce5GaHg2 after structural relaxation.

The structure in POSCAR format:
```
Ce5GaHg2
1.0
-4.0718 3.5400 -1.0992
-1.6071 -6.1056 0.0814
-2.7437 0.8962 13.0497
Ce Ga Hg
10 2 4
Cartesian
-4.2735 1.3885 6.5105 Ce
-5.3806 1.7501 11.7763 Ce
-4.1491 -3.0579 5.5214 Ce
-1.7200 -0.2952 5.4210 Ce
-2.8964 1.7862 2.6904 Ce
-5.5261 -3.4557 9.3415 Ce
-6.7025 -1.3743 6.6109 Ce
-0.7818 -0.6016 0.9586 Ce
-7.6407 -1.0678 11.0733 Ce
-3.0419 -3.4196 0.2556 Ce
-5.9155 0.2738 9.0035 Ga
-2.5070 -1.9433 3.0284 Ga
-3.2678 -1.2314 8.1395 Hg
-3.8788 -1.0318 11.0454 Hg
-4.5437 -0.6376 0.9864 Hg
-5.1547 -0.4381 3.8924 Hg
```

Calculated values
Total DFT energy (no corrections): -4.275 eV/atom
Offset from the most stable computed form: 134 meV/atom
ΔH_f (0 K): -0.90 eV per formula unit
SG: Cmcm



A plane-wave DFT calculation with PBE was carried out for Ce3GaHg after structural relaxation.

The structure in POSCAR format:
```
Ce3GaHg
1.0
6.1449 0.1530 -0.5931
3.1426 5.2827 -0.5931
2.7662 1.6190 15.5016
Hg Ce Ga
4 12 4
Cartesian
6.7499 2.8997 5.0512 Hg
7.2168 5.2745 12.8020 Hg
4.8369 1.7801 1.5134 Hg
5.3038 4.1549 9.2642 Hg
4.2906 4.4249 13.5682 Ce
3.4558 2.7977 4.2656 Ce
4.5761 0.7644 5.8174 Ce
5.1344 5.2877 6.1044 Ce
8.5077 2.6966 13.8552 Ce
5.5147 2.4525 12.0164 Ce
7.4776 6.2902 8.4980 Ce
6.5390 4.6021 2.2989 Ce
3.5460 4.3580 0.4602 Ce
6.9193 1.7669 8.2110 Ce
7.7631 2.6297 0.7472 Ce
8.5979 4.2569 10.0497 Ce
3.0724 0.0765 -0.2966 Ga
5.2938 6.3661 11.0331 Ga
6.7599 0.6885 3.2823 Ga
2.9544 3.4508 7.4542 Ga
```

Calculated values
Total DFT energy (no corrections): -4.456 eV/atom
Offset from the most stable computed form: 0 meV/atom
ΔH_f (0 K): -1.15 eV per formula unit
SG: C2/c



A plane-wave DFT calculation with PBE was carried out for Ce5Ga3Hg3 after structural relaxation.

The structure in POSCAR format:
```
Ce5Ga3Hg3
1.0
3.1553 0.0000 0.0000
0.0000 8.6895 -5.0169
0.0000 0.0000 10.0337
Ga Ce Hg
3 5 3
Cartesian
1.5777 1.2817 0.7400 Ga
1.5777 7.4078 -4.2769 Ga
1.5777 0.0000 8.5538 Ga
1.5777 5.7930 0.0000 Ce
1.5777 5.6707 3.2740 Ce
1.5777 2.8965 5.0169 Ce
1.5777 3.0188 -1.7429 Ce
1.5777 0.0000 3.4858 Ce
0.0000 0.0000 6.2688 Hg
0.0000 5.4289 -3.1344 Hg
0.0000 3.2606 1.8825 Hg
```

Calculated values
Total DFT energy (no corrections): -3.622 eV/atom
ΔH_f (0 K): -0.19 eV per formula unit
SG: P-62m



A plane-wave DFT calculation with PBE was carried out for CeGaHg after structural relaxation.

The structure in POSCAR format:
```
CeGaHg
1.0
4.8131 0.0000 0.0000
2.4065 4.1682 0.0000
2.4065 1.3894 3.9299
Ce Ga Hg
1 1 1
Cartesian
4.8131 2.7788 1.9649 Ce
2.4065 1.3894 0.9825 Ga
0.0000 0.0000 0.0000 Hg
```

Calculated values
Total DFT energy (no corrections): -3.405 eV/atom
Offset from the most stable computed form: 99 meV/atom
ΔH_f (0 K): -0.95 eV per formula unit
SG: F-43m



A plane-wave DFT calculation with PBE was carried out for Ce8Ga2Hg after structural relaxation.

The structure in POSCAR format:
```
Ce8Ga2Hg
1.0
5.5760 0.8651 0.0000
1.5144 8.1761 0.0000
0.7572 4.0880 6.7395
Ce Hg Ga
8 1 2
Cartesian
2.4989 3.6226 0.0000 Ce
6.1709 6.3483 5.3265 Ce
2.4338 10.8690 5.3265 Ce
1.6766 6.7810 1.4130 Ce
5.4138 2.2603 1.4130 Ce
3.5452 4.5206 3.5426 Ce
4.3024 8.6087 3.1969 Ce
4.5915 5.4187 0.0000 Ce
2.7880 0.4326 0.0000 Hg
0.7572 4.0880 2.5438 Ga
1.5144 8.1761 4.1957 Ga
```

Calculated values
Total DFT energy (no corrections): -5.054 eV/atom
ΔH_f (0 K): -1.76 eV per formula unit
SG: C2/m